No. 1
Computed, not measured: an optimized crystal structure of BaLaRe2 at the GGA-PBEsol level of DFT.

a = 3.2700 Å, b = 5.0606 Å, c = 5.0791 Å
α = 90.00°, β = 90.00°, γ = 90.00°
With the nearest neighbours (Å) after each atom.
Space group Pmmm (No. 47)
One atom of each set of equivalent atoms:
Ba 0.0000 0.0000 0.0000  4 La 3.01, 4 Re 3.02, 2 Ba 3.27
La 0.5000 0.5000 0.0000  4 Ba 3.01, 4 Re 3.02, 2 La 3.27
Re 0.0000 0.5000 0.5000  6 Re 3.01-3.27, 4 La 3.02
Re 0.5000 0.0000 0.5000  6 Re 3.01-3.27, 4 Ba 3.02

Raw total energy (eV/atom): -7.27
Energy above the most stable polymorph in this dataset (meV/atom): 706
Calculated volume (Å³ per atom): 21.012
Magnetization (μB per formula unit): 0.0
ΔH_f (0 K) (kcal/mol of atoms): 29.39

No. 2
Computed, not measured: an optimized crystal structure of ZrSc2Hg at the GGA-PBEsol level of DFT.

a = 3.1975 Å, b = 3.1975 Å, c = 32.3273 Å
α = 90.00°, β = 90.00°, γ = 120.00°
With the nearest neighbours (Å) after each atom.
Space group R-3m (No. 166, hexagonal axes)
One atom of each set of equivalent atoms:
Zr 0.0000 0.0000 0.0000  6 Sc 3.07, 6 Zr 3.20
Sc 0.0000 0.0000 0.4094  1 Hg 2.93, 3 Zr 3.07, 6 Sc 3.20
Hg 0.0000 0.0000 0.5000  2 Sc 2.93, 6 Hg 3.20

Raw total energy (eV/atom): -5.62
Calculated volume (Å³ per atom): 23.853
Magnetization (μB per formula unit): 0.0
ΔH_f (0 K) (kcal/mol of atoms): 2.22

No. 3
Computed, not measured: an optimized crystal structure of LaHf2ScSn at the GGA-PBEsol level of DFT.

a = 5.2620 Å, b = 5.2620 Å, c = 5.7874 Å
α = 90.00°, β = 90.00°, γ = 90.00°
With the nearest neighbours (Å) after each atom.
Space group P4/mmm (No. 123)
One atom of each set of equivalent atoms:
La 0.0000 0.0000 0.0000  2 Sn 2.89
Hf 0.0000 0.5000 0.5000  2 Sn 2.63
Sc 0.5000 0.5000 0.0000  4 La 3.72, 8 Hf 3.91
Sn 0.0000 0.0000 0.5000  4 Hf 2.63, 2 La 2.89

Raw total energy (eV/atom): -6.61
Calculated volume (Å³ per atom): 32.049
Magnetization (μB per formula unit): 0.0
ΔH_f (0 K) (kcal/mol of atoms): 19.26

No. 4
Computed, not measured: an optimized crystal structure of IrOs3 at the GGA-PBEsol level of DFT.

a = 2.7003 Å, b = 3.8285 Å, c = 5.4062 Å
α = 90.00°, β = 90.00°, γ = 90.00°
With the nearest neighbours (Å) after each atom.
Space group Pmmm (No. 47)
One atom of each set of equivalent atoms:
Ir 0.0000 0.0000 0.0000  2 Ir 2.70, 10 Os 2.70-2.71
Os 0.0000 0.0000 0.5000  10 Os 2.70, 2 Ir 2.70
Os 0.5000 0.5000 0.2532  8 Os 2.67-2.74, 4 Ir 2.71

Raw total energy (eV/atom): -11.53
Calculated volume (Å³ per atom): 13.972
Magnetization (μB per formula unit): 0.0
ΔH_f (0 K) (kcal/mol of atoms): 1.94